1.
Compound: BeCr2MoP
Source: Alexandria
Functional: GGA-PBE
Structure: relaxed

The structure in extended XYZ format:
```
5
Lattice="-3.7852 -0.7184 -1.4658 -0.3606 -2.8761 2.3409 -1.5829 2.5200 2.8524" Properties=species:S:1:pos:R:3 pbc="T T T"
P -0.1803 -1.4381 1.1704
Cr -1.8926 -0.3592 -0.7329
Cr -0.7914 1.2600 1.4262
Mo -2.8643 -0.5373 1.8637
Be 0.0000 0.0000 0.0000
```

- Formation enthalpy at 0 K: 0.75 eV/atom
- Electronic total energy: -35.5 eV for the cell shown
- DOS(E_F): 2.80 states/eV/cell
- Crystal system: tetragonal

2.
Compound: BeCrMo2Pd
Source: Alexandria
Functional: GGA-PBE
Structure: relaxed

The structure in extended XYZ format:
```
5
Lattice="4.2182 0.0000 0.0000 0.0000 4.0257 0.0000 0.0000 0.0000 4.2182" Properties=species:S:1:pos:R:3 pbc="T T T"
Cr 2.1091 2.0129 2.1091
Mo 0.0000 0.0000 2.1091
Mo 2.1091 0.0000 0.0000
Be 0.0000 0.0000 0.0000
Pd 0.0000 2.0129 0.0000
```

- Formation enthalpy at 0 K: 0.71 eV/atom
- Electronic total energy: -36.6 eV for the cell shown
- DOS(E_F): 4.69 states/eV/cell
- Crystal system: tetragonal

Number 1: ρ 6.293 g cm⁻³, magnetic moment 1.8 μB/f.u.. Number 2: ρ 8.330 g cm⁻³, magnetic moment 0.0 μB/f.u..